A:
The following is a PBE+U calculation of an optimized crystal structure of BaSrNdMnO6, from Alexandria via LeMat-Bulk.

Size of the total moment (μB/f.u.): 4.1

Geometry as extended XYZ:
```
20
Lattice="5.955 0.000 0.000 0.018 5.976 0.000 0.087 0.070 8.412" Properties=species:S:1:pos:R:3 pbc="T T T"
Ba 0.073 0.037 2.108
Ba 5.987 6.009 6.303
Sr 2.926 3.070 6.341
Sr 3.134 2.976 2.070
Nd 0.052 3.023 4.206
Nd 2.978 0.000 0.000
Mn 0.009 2.988 0.000
Mn 3.021 0.035 4.206
O 0.267 2.793 6.505
O 1.358 4.515 8.278
O 1.511 1.790 0.290
O 1.625 4.716 4.391
O 1.760 1.473 3.895
O 2.968 0.413 6.106
O 3.092 5.633 2.305
O 4.300 4.573 4.516
O 4.435 1.330 4.020
O 4.549 4.256 8.121
O 4.703 1.531 0.133
O 5.793 3.253 1.907
```

***

B:
The following is a PBE+U calculation of an optimized crystal structure of BaSrNdMnO6, from Alexandria via LeMat-Bulk.

Size of the total moment (μB/f.u.): 4.0

Geometry as extended XYZ:
```
10
Lattice="0.000 4.224 4.224 4.224 0.000 4.224 4.224 4.224 0.000" Properties=species:S:1:pos:R:3 pbc="T T T"
Ba 0.000 0.000 0.000
Sr 4.224 4.224 4.224
Nd 6.336 6.336 6.336
Mn 2.112 2.112 2.112
O 2.112 2.112 0.191
O 2.112 0.191 2.112
O 4.033 2.112 2.112
O 0.191 2.112 2.112
O 2.112 4.033 2.112
O 2.112 2.112 4.033
```

***

Going by the energies, A is most stable and the next is 8 meV/atom up.

***

A:
The following is a PBE+U calculation of an optimized crystal structure of Ba2MnO4, from Alexandria via LeMat-Bulk.

Size of the total moment (μB/f.u.): 3.0

Geometry as extended XYZ:
```
14
Lattice="5.829 0.000 0.000 0.000 6.190 0.000 -2.289 0.000 7.111" Properties=species:S:1:pos:R:3 pbc="T T T"
Ba 0.366 1.548 0.801
Ba 0.096 4.643 3.518
Ba 3.445 1.548 3.593
Ba 3.175 4.643 6.310
Mn 0.426 1.548 5.279
Mn 3.115 4.643 1.832
O -0.770 0.211 5.565
O -0.770 2.884 5.565
O 1.421 4.643 1.257
O 0.737 1.548 3.457
O 2.803 4.643 3.654
O 2.120 1.548 5.854
O 4.311 3.306 1.546
O 4.311 5.979 1.546
```

***

B:
The following is a PBE+U calculation of an optimized crystal structure of Ba2MnO4, from Alexandria via LeMat-Bulk.

Size of the total moment (μB/f.u.): 3.0

Geometry as extended XYZ:
```
14
Lattice="4.061 0.000 0.000 0.000 4.061 0.000 0.000 0.000 13.287" Properties=species:S:1:pos:R:3 pbc="T T T"
Ba 0.000 0.000 1.891
Ba 0.000 0.000 11.395
Ba 2.031 2.031 4.752
Ba 2.031 2.031 8.534
Mn 0.000 0.000 6.643
Mn 2.031 2.031 0.000
O 0.000 0.000 4.671
O 0.000 0.000 8.616
O 0.000 2.031 0.000
O 0.000 2.031 6.643
O 2.031 0.000 0.000
O 2.031 0.000 6.643
O 2.031 2.031 1.973
O 2.031 2.031 11.314
```

***

Going by the energies, B is most stable and the next is 97 meV/atom up.